Below is a relaxed AlGaBiCl2 crystal, with properties calculated at the PBE-GGA level.

a = 5.441 Å, b = 5.988 Å, c = 5.441 Å
α = 90.00°, β = 90.00°, γ = 90.00°
Sites, in units of the cell vectors:
Al 0.000 0.500 0.000
Bi 0.000 0.000 0.000
Ga 0.500 0.500 0.500
Cl 0.000 0.000 0.500
Cl 0.500 0.000 0.000

Output
* energy: -2.80 eV per atom
* energy relative to the elements, uncorrected: 72 meV/atom
* SG: P4/mmm
* total magnetization: 0.00 μB per formula unit